*a*
A crystal of IrOs2 relaxed with PBEsol, computed with meta-GGA SCAN.

a = 2.704 Å, b = 2.704 Å, c = 6.631 Å
α = 90.00°, β = 90.00°, γ = 120.00°
Fractional coordinates of all 3 atoms:
Ir (0.000, 0.000, 0.000)
Os (0.333, 0.667, 0.662)
Os (0.667, 0.333, 0.338)

*b*
A crystal of IrOs2 relaxed with PBEsol, computed with meta-GGA SCAN.

a = 4.303 Å, b = 4.303 Å, c = 2.699 Å
α = 90.00°, β = 90.00°, γ = 120.00°
Fractional coordinates of all 3 atoms:
Ir (0.000, 0.000, 0.000)
Os (0.333, 0.667, 0.500)
Os (0.667, 0.333, 0.500)

Q: Which of them is the least stable? A: *b*.

*a*
A crystal of Ir2Os relaxed with PBEsol, computed with meta-GGA SCAN.

a = 4.643 Å, b = 5.965 Å, c = 3.906 Å
α = 90.00°, β = 90.00°, γ = 90.00°
Fractional coordinates of all 6 atoms:
Ir (0.206, 0.116, 0.000)
Ir (0.294, 0.616, 0.500)
Ir (0.706, 0.384, 0.500)
Ir (0.794, 0.884, 0.000)
Os (0.000, 0.500, 0.000)
Os (0.500, 0.000, 0.500)

*b*
A crystal of Ir2Os relaxed with PBEsol, computed with meta-GGA SCAN.

a = 12.128 Å, b = 12.128 Å, c = 12.128 Å
α = 167.21°, β = 167.21°, γ = 18.13°
Fractional coordinates of all 6 atoms:
Ir (0.297, 0.547, 0.750)
Ir (0.453, 0.703, 0.750)
Ir (0.547, 0.297, 0.250)
Ir (0.703, 0.453, 0.250)
Os (0.125, 0.875, 0.250)
Os (0.875, 0.125, 0.750)

*c*
A crystal of Ir2Os relaxed with PBEsol, computed with meta-GGA SCAN.

a = 5.146 Å, b = 5.146 Å, c = 6.419 Å
α = 103.72°, β = 103.72°, γ = 30.73°
Fractional coordinates of all 6 atoms:
Ir (0.000, 0.000, 0.000)
Ir (0.055, 0.055, 0.609)
Ir (0.332, 0.332, 0.668)
Ir (0.668, 0.668, 0.332)
Os (0.387, 0.387, 0.274)
Os (0.724, 0.724, 0.948)

*d*
A crystal of Ir2Os relaxed with PBEsol, computed with meta-GGA SCAN.

a = 5.411 Å, b = 3.822 Å, c = 8.143 Å
α = 90.00°, β = 90.00°, γ = 90.00°
Fractional coordinates of all 12 atoms:
Ir (0.125, 0.250, 0.246)
Ir (0.126, 0.250, 0.584)
Ir (0.374, 0.750, 0.084)
Ir (0.375, 0.750, 0.746)
Ir (0.625, 0.250, 0.254)
Ir (0.626, 0.250, 0.916)
Ir (0.874, 0.750, 0.416)
Ir (0.875, 0.750, 0.754)
Os (0.121, 0.250, 0.921)
Os (0.379, 0.750, 0.421)
Os (0.621, 0.250, 0.579)
Os (0.879, 0.750, 0.079)

Q: Which of them is the least stable? A: *a*.

*a*
A crystal of Ir5Os relaxed with PBEsol, computed with meta-GGA SCAN.

a = 4.386 Å, b = 7.218 Å, c = 7.218 Å
α = 21.74°, β = 90.00°, γ = 90.00°
Fractional coordinates of all 6 atoms:
Ir (0.000, 0.000, 0.000)
Ir (0.000, 0.329, 0.329)
Ir (0.500, 0.109, 0.109)
Ir (0.500, 0.441, 0.441)
Ir (0.500, 0.775, 0.775)
Os (0.000, 0.664, 0.664)

*b*
A crystal of Ir5Os relaxed with PBEsol, computed with meta-GGA SCAN.

a = 2.707 Å, b = 2.707 Å, c = 11.514 Å
α = 90.00°, β = 90.00°, γ = 90.00°
Fractional coordinates of all 6 atoms:
Ir (0.000, 0.000, 0.000)
Ir (0.000, 0.000, 0.336)
Ir (0.000, 0.000, 0.664)
Ir (0.500, 0.500, 0.165)
Ir (0.500, 0.500, 0.835)
Os (0.500, 0.500, 0.500)

Q: Which of them is the least stable? A: *a*.